A) A plane-wave DFT calculation with PBE was carried out for a geometry-optimized AlMoP2S structure.

Summary:
- Volume: 19.06 Å³ per atom
- SG: P4/mmm

a b c (Å): 4.5565 4.5565 4.5907
angles (deg): 90.00 90.00 90.00
Last column: nearest neighbours and their distance in Å.
Sites, in units of the cell vectors:
Al  0.0000  0.0000  0.0000  4 P 2.28, 2 S 2.30
Mo  0.5000  0.5000  0.5000  4 S 3.22, 8 P 3.23
P  0.0000  0.5000  0.0000  2 Al 2.28
P  0.5000  0.0000  0.0000  2 Al 2.28
S  0.0000  0.0000  0.5000  2 Al 2.30

B) A plane-wave DFT calculation with PBE was carried out for a geometry-optimized AlMoP2S structure.

Summary:
- Volume: 21.02 Å³ per atom
- SG: P4/mmm

a b c (Å): 4.7349 4.7349 4.6874
angles (deg): 90.00 90.00 90.00
Last column: nearest neighbours and their distance in Å.
Sites, in units of the cell vectors:
Al  0.0000  0.0000  0.0000  8 P 3.33, 4 S 3.35
Mo  0.5000  0.5000  0.5000  2 S 2.34, 4 P 2.37
P  0.0000  0.5000  0.5000  2 Mo 2.37
P  0.5000  0.0000  0.5000  2 Mo 2.37
S  0.5000  0.5000  0.0000  2 Mo 2.34

In order of decreasing stability: B), A).

A) A plane-wave DFT calculation with PBE was carried out for a geometry-optimized PaAlMo structure.

Summary:
- Volume: 19.30 Å³ per atom
- SG: Imma

a b c (Å): 5.4381 5.4381 5.4381
angles (deg): 119.15 118.32 92.21
Last column: nearest neighbours and their distance in Å.
Sites, in units of the cell vectors:
Pa  0.3595  0.1095  0.2500  6 Mo 3.04-3.28, 6 Al 3.20-3.26, 2 Pa 3.24
Pa  0.6405  0.8905  0.7500  6 Mo 3.04-3.28, 6 Al 3.20-3.26, 2 Pa 3.24
Al  0.0000  0.5000  0.5000  4 Mo 2.72, 2 Al 2.79
Al  0.5000  0.5000  0.0000  4 Mo 2.72, 2 Al 2.79
Mo  0.0000  0.0000  0.5000  4 Al 2.72, 2 Mo 2.75, 2 Pa 3.04
Mo  0.0000  0.5000  0.0000  4 Al 2.72, 2 Mo 2.75, 2 Pa 3.04

B) A plane-wave DFT calculation with PBE was carried out for a geometry-optimized PaAlMo structure.

Summary:
- Volume: 20.44 Å³ per atom
- SG: Amm2

a b c (Å): 3.5255 4.3792 4.3792
angles (deg): 65.10 90.00 90.00
Last column: nearest neighbours and their distance in Å.
Sites, in units of the cell vectors:
Pa  0.0000  0.0000  0.0000  2 Mo 2.83, 6 Al 3.11-3.15
Al  0.5000  0.6536  0.6536  3 Mo 2.59-2.61
Mo  0.5000  0.3005  0.3005  3 Al 2.59-2.61, 2 Pa 2.83

In order of decreasing stability: A), B).

A) A plane-wave DFT calculation with PBE was carried out for a geometry-optimized PaAlMo structure.

Summary:
- Volume: 19.37 Å³ per atom
- SG: P3m1

a b c (Å): 4.6747 4.6747 3.0710
angles (deg): 90.00 90.00 120.00
Last column: nearest neighbours and their distance in Å.
Sites, in units of the cell vectors:
Pa  0.0000  0.0000  0.0000  3 Mo 2.89, 2 Pa 3.07, 6 Al 3.08-3.13
Al  0.6667  0.3333  0.5142  3 Mo 2.75, 2 Al 3.07
Mo  0.3333  0.6667  0.3391  3 Al 2.75, 3 Pa 2.89, 2 Mo 3.07

B) A plane-wave DFT calculation with PBE was carried out for a geometry-optimized PaAlMo structure.

Summary:
- Volume: 19.75 Å³ per atom
- SG: I4mm

a b c (Å): 6.0168 6.0168 6.0168
angles (deg): 148.51 148.51 45.14
Last column: nearest neighbours and their distance in Å.
Sites, in units of the cell vectors:
Pa  0.0000  0.0000  0.0000  4 Mo 2.93, 1 Al 3.19, 4 Pa 3.27
Al  0.7127  0.7127  0.0000  4 Mo 2.70
Mo  0.3383  0.3383  0.0000  4 Al 2.70, 4 Pa 2.93

In order of decreasing stability: B), A).

A) A plane-wave DFT calculation with PBE was carried out for a geometry-optimized PaAl2Mo structure.

Summary:
- Volume: 19.25 Å³ per atom
- SG: P2_1/m

a b c (Å): 4.6845 6.6750 5.1522
angles (deg): 90.00 107.10 90.00
Last column: nearest neighbours and their distance in Å.
Sites, in units of the cell vectors:
Pa  0.0315  0.2500  0.1352  2 Mo 2.60-2.72
Pa  0.9685  0.7500  0.8648  2 Mo 2.60-2.72
Al  0.4170  0.0531  0.7237  3 Al 2.63-2.81, 3 Mo 2.72-2.77
Al  0.4170  0.4469  0.7237  3 Al 2.63-2.81, 3 Mo 2.72-2.77
Al  0.5830  0.5531  0.2763  3 Al 2.63-2.81, 3 Mo 2.72-2.77
Al  0.5830  0.9469  0.2763  3 Al 2.63-2.81, 3 Mo 2.72-2.77
Mo  0.1141  0.7500  0.3914  2 Pa 2.60-2.72, 6 Al 2.72-2.77
Mo  0.8859  0.2500  0.6086  2 Pa 2.60-2.72, 6 Al 2.72-2.77

B) A plane-wave DFT calculation with PBE was carried out for a geometry-optimized PaAl2Mo structure.

Summary:
- Volume: 18.49 Å³ per atom
- SG: P4/mmm

a b c (Å): 3.2476 3.2476 7.0106
angles (deg): 90.00 90.00 90.00
Last column: nearest neighbours and their distance in Å.
Sites, in units of the cell vectors:
Pa  0.0000  0.0000  0.0000  8 Al 3.14, 4 Pa 3.25, 2 Mo 3.51
Al  0.5000  0.5000  0.3048  4 Mo 2.67, 1 Al 2.74
Al  0.5000  0.5000  0.6952  4 Mo 2.67, 1 Al 2.74
Mo  0.0000  0.0000  0.5000  8 Al 2.67

C) A plane-wave DFT calculation with PBE was carried out for a geometry-optimized PaAl2Mo structure.

Summary:
- Volume: 18.52 Å³ per atom
- SG: R-3m

a b c (Å): 9.9519 9.9519 9.9519
angles (deg): 17.07 17.07 17.07
Last column: nearest neighbours and their distance in Å.
Sites, in units of the cell vectors:
Pa  0.0000  0.0000  0.0000  6 Pa 2.95, 6 Al 3.22
Al  0.2403  0.2403  0.2403  3 Mo 2.76, 6 Al 2.95
Al  0.7597  0.7597  0.7597  3 Mo 2.76, 6 Al 2.95
Mo  0.5000  0.5000  0.5000  6 Al 2.76, 6 Mo 2.95

In order of decreasing stability: A), B), C).

A) A plane-wave DFT calculation with PBE was carried out for a geometry-optimized AlMo2Pb structure.

Summary:
- Volume: 17.67 Å³ per atom
- SG: P4/mmm

a b c (Å): 4.0546 4.0546 4.2990
angles (deg): 90.00 90.00 90.00
Last column: nearest neighbours and their distance in Å.
Sites, in units of the cell vectors:
Al  0.0000  0.0000  0.0000  4 Pb 2.87, 8 Mo 2.95
Mo  0.0000  0.5000  0.5000  4 Mo 2.87, 4 Al 2.95, 4 Pb 2.95
Mo  0.5000  0.0000  0.5000  4 Mo 2.87, 4 Al 2.95, 4 Pb 2.95
Pb  0.5000  0.5000  0.0000  4 Al 2.87, 8 Mo 2.95

B) A plane-wave DFT calculation with PBE was carried out for a geometry-optimized AlMo2Pb structure.

Summary:
- Volume: 17.77 Å³ per atom
- SG: I4/mmm

a b c (Å): 5.2088 5.2088 5.2088
angles (deg): 134.37 134.37 66.51
Last column: nearest neighbours and their distance in Å.
Sites, in units of the cell vectors:
Al  0.0000  0.0000  0.0000  4 Pb 2.86, 8 Mo 2.97
Mo  0.2500  0.7500  0.5000  4 Mo 2.86, 4 Pb 2.97, 4 Al 2.97
Mo  0.7500  0.2500  0.5000  4 Mo 2.86, 4 Pb 2.97, 4 Al 2.97
Pb  0.5000  0.5000  0.0000  4 Al 2.86, 8 Mo 2.97

C) A plane-wave DFT calculation with PBE was carried out for a geometry-optimized AlMo2Pb structure.

Summary:
- Volume: 18.87 Å³ per atom
- SG: P2/m

a b c (Å): 2.9529 4.2020 6.2418
angles (deg): 90.00 102.88 90.00
Last column: nearest neighbours and their distance in Å.
Sites, in units of the cell vectors:
Al  0.0000  0.0000  0.0000  4 Mo 2.67, 2 Al 2.95
Mo  0.4856  0.5000  0.1918  1 Mo 2.41, 2 Al 2.67
Mo  0.5144  0.5000  0.8082  1 Mo 2.41, 2 Al 2.67
Pb  0.0000  0.0000  0.5000  2 Pb 2.95, 4 Mo 3.02, 2 Al 3.12

D) A plane-wave DFT calculation with PBE was carried out for a geometry-optimized AlMo2Pb structure.

Summary:
- Volume: 17.72 Å³ per atom
- SG: Immm

a b c (Å): 5.3145 5.3145 5.3145
angles (deg): 143.24 126.86 66.36
Last column: nearest neighbours and their distance in Å.
Sites, in units of the cell vectors:
Al  0.0000  0.0000  0.0000  4 Mo 2.71, 4 Pb 2.91
Mo  0.2394  0.7394  0.5000  2 Al 2.71, 2 Pb 2.86, 4 Mo 2.91
Mo  0.7606  0.2606  0.5000  2 Al 2.71, 2 Pb 2.86, 4 Mo 2.91
Pb  0.5000  0.5000  0.0000  8 Mo 2.86-3.19, 4 Al 2.91

In order of decreasing stability: C), D), A), B).

A) A plane-wave DFT calculation with PBE was carried out for a geometry-optimized AlMo2Pb structure.

Summary:
- Volume: 18.16 Å³ per atom
- SG: P4mm

a b c (Å): 3.3086 3.3086 6.6377
angles (deg): 90.00 90.00 90.00
Last column: nearest neighbours and their distance in Å.
Sites, in units of the cell vectors:
Al  0.0000  0.0000  0.0000  5 Mo 2.67-2.73
Mo  0.0000  0.0000  0.5885  1 Al 2.73, 4 Mo 2.75, 4 Pb 2.99
Mo  0.5000  0.5000  0.8062  4 Al 2.67, 4 Mo 2.75
Pb  0.5000  0.5000  0.3070  6 Mo 2.99-3.32, 4 Al 3.10, 4 Pb 3.31

B) A plane-wave DFT calculation with PBE was carried out for a geometry-optimized AlMo2Pb structure.

Summary:
- Volume: 18.07 Å³ per atom
- SG: R-3m

a b c (Å): 9.2767 9.2767 9.2767
angles (deg): 18.78 18.78 18.78
Last column: nearest neighbours and their distance in Å.
Sites, in units of the cell vectors:
Al  0.0000  0.0000  0.0000  6 Mo 2.78, 6 Al 3.03
Mo  0.2544  0.2544  0.2544  3 Al 2.78, 3 Pb 2.97, 6 Mo 3.03
Mo  0.7456  0.7456  0.7456  3 Al 2.78, 3 Pb 2.97, 6 Mo 3.03
Pb  0.5000  0.5000  0.5000  6 Mo 2.97, 6 Pb 3.03

C) A plane-wave DFT calculation with PBE was carried out for a geometry-optimized AlMo2Pb structure.

Summary:
- Volume: 19.32 Å³ per atom
- SG: Cmm2

a b c (Å): 2.9532 2.9532 9.4747
angles (deg): 90.00 90.00 110.76
Last column: nearest neighbours and their distance in Å.
Sites, in units of the cell vectors:
Al  0.0000  0.0000  0.0000  2 Mo 2.65, 4 Al 2.95
Mo  0.0000  0.0000  0.4265  2 Mo 2.60
Mo  0.5000  0.5000  0.2164  2 Mo 2.60, 2 Al 2.65
Pb  0.5000  0.5000  0.6972  4 Pb 2.95, 2 Mo 3.06

D) A plane-wave DFT calculation with PBE was carried out for a geometry-optimized AlMo2Pb structure.

Summary:
- Volume: 18.13 Å³ per atom
- SG: Cm

a b c (Å): 5.1772 5.1772 4.7928
angles (deg): 109.69 109.69 37.14
Last column: nearest neighbours and their distance in Å.
Sites, in units of the cell vectors:
Al  0.0000  0.0000  0.0000  7 Mo 2.81-3.02, 3 Pb 3.06-3.10
Mo  0.4609  0.4609  0.4490  2 Mo 2.60, 2 Al 2.84
Mo  0.7481  0.7481  0.1986  2 Mo 2.60, 2 Al 2.81
Pb  0.2251  0.2251  0.6827  7 Mo 2.91-2.94, 4 Al 3.06-3.23

In order of decreasing stability: A), D), C), B).